Entry 1:
Here is an optimized crystal structure of Sc2TlNi from Alexandria. Energies are from PBE.

Unit cell a=7.4438 b=7.4438 c=7.4438 alpha=40.18 beta=151.84 gamma=151.93
Closest atoms and distances in Å follow each position.
Element x y z (fractional)
Tl 0.0000 0.5000 0.5000  4 Ni 2.56
Ni 0.0000 0.0000 0.0000  2 Sc 2.49, 4 Tl 2.56
Sc 0.0000 0.1781 0.1781  1 Ni 2.49
Sc 0.0000 0.8219 0.8219  1 Ni 2.49

raw total energy	-5.033	eV per atom
energy relative to the elements	0.680	eV/f.u.
symmetry	Immm



Entry 2:
Here is an optimized crystal structure of Sc2TlNi from Alexandria. Energies are from PBE.

Unit cell a=3.3355 b=3.2173 c=8.0299 alpha=66.35 beta=90.00 gamma=90.00
Closest atoms and distances in Å follow each position.
Element x y z (fractional)
Ni 0.5000 0.7500 0.7500  8 Sc 2.77
Tl 0.5000 0.2500 0.2500  8 Sc 3.17, 4 Tl 3.22-3.34
Sc 0.0000 0.4562 0.5441  4 Ni 2.77, 1 Sc 3.03
Sc 0.0000 0.0438 0.9559  4 Ni 2.77, 1 Sc 3.03

raw total energy	-5.586	eV per atom
energy relative to the elements	-1.534	eV/f.u.
symmetry	Pmmm



Entry 3:
Here is an optimized crystal structure of Sc5Tl4Ni2 from Alexandria. Energies are from PBE.

Unit cell a=3.4361 b=7.6720 c=17.2808 alpha=90.00 beta=90.00 gamma=90.00
Closest atoms and distances in Å follow each position.
Element x y z (fractional)
Tl 0.5000 0.0781 0.3485  2 Ni 2.78-3.07, 4 Sc 3.09-3.11
Tl 0.5000 0.5781 0.1515  2 Ni 2.78-3.07, 4 Sc 3.09-3.11
Tl 0.5000 0.7011 0.4356  1 Ni 2.90, 8 Sc 3.02-3.23
Tl 0.5000 0.4219 0.8485  2 Ni 2.78-3.07, 4 Sc 3.09-3.11
Tl 0.5000 0.2011 0.0644  1 Ni 2.90, 8 Sc 3.02-3.23
Tl 0.5000 0.2989 0.5644  1 Ni 2.90, 8 Sc 3.02-3.23
Tl 0.5000 0.7989 0.9356  1 Ni 2.90, 8 Sc 3.02-3.23
Tl 0.5000 0.9219 0.6515  2 Ni 2.78-3.07, 4 Sc 3.09-3.11
Sc 0.0000 0.8820 0.0897  2 Ni 2.59
Sc 0.0000 0.1180 0.9103  2 Ni 2.59
Sc 0.0000 0.3820 0.4103  2 Ni 2.59
Sc 0.0000 0.0000 0.5000  8 Tl 3.07-3.19, 4 Sc 3.32-3.44
Sc 0.0000 0.5000 0.0000  8 Tl 3.07-3.19, 4 Sc 3.32-3.44
Sc 0.0000 0.7489 0.7803  4 Ni 2.79-2.82, 2 Tl 3.11
Sc 0.0000 0.7511 0.2803  4 Ni 2.79-2.82, 2 Tl 3.11
Sc 0.0000 0.2489 0.7197  4 Ni 2.79-2.82, 2 Tl 3.11
Sc 0.0000 0.2511 0.2197  4 Ni 2.79-2.82, 2 Tl 3.11
Sc 0.0000 0.6180 0.5897  2 Ni 2.59
Ni 0.5000 0.9651 0.1957  6 Sc 2.59-2.82, 1 Tl 2.78
Ni 0.5000 0.4651 0.3043  6 Sc 2.59-2.82, 1 Tl 2.78
Ni 0.5000 0.0349 0.8043  6 Sc 2.59-2.82, 1 Tl 2.78
Ni 0.5000 0.5349 0.6957  6 Sc 2.59-2.82, 1 Tl 2.78

raw total energy	-5.166	eV per atom
energy relative to the elements	-4.139	eV/f.u.
symmetry	Pbam



Entry 4:
Here is an optimized crystal structure of Sc2TlNi from Alexandria. Energies are from PBE.

Unit cell a=3.5325 b=4.7427 c=4.7427 alpha=90.00 beta=90.00 gamma=90.00
Closest atoms and distances in Å follow each position.
Element x y z (fractional)
Sc 0.0000 0.0000 0.0000  4 Tl 2.96, 4 Ni 2.96
Sc 0.0000 0.5000 0.5000  4 Tl 2.96, 4 Ni 2.96
Tl 0.5000 0.5000 0.0000  8 Sc 2.96
Ni 0.5000 0.0000 0.5000  8 Sc 2.96

raw total energy	-5.456	eV per atom
energy relative to the elements	-1.014	eV/f.u.
symmetry	P4/mmm



Entry 5:
Here is an optimized crystal structure of Sc2TlNi from Alexandria. Energies are from PBE.

Unit cell a=5.4317 b=5.4317 c=5.4317 alpha=135.21 beta=135.21 gamma=65.21
Closest atoms and distances in Å follow each position.
Element x y z (fractional)
Sc 0.2500 0.7500 0.5000  4 Ni 2.93, 4 Tl 3.09, 4 Sc 3.09
Sc 0.0000 0.0000 0.0000  4 Tl 2.93, 4 Ni 3.09, 4 Sc 3.09
Ni 0.7500 0.2500 0.5000  8 Sc 2.93-3.09, 4 Tl 3.09
Tl 0.5000 0.5000 0.0000  8 Sc 2.93-3.09, 4 Ni 3.09

raw total energy	-5.338	eV per atom
energy relative to the elements	-0.541	eV/f.u.
symmetry	I-4m2



Entry 6:
Here is an optimized crystal structure of ScTlNi from Alexandria. Energies are from PBE.

Unit cell a=4.4093 b=7.9338 c=6.4384 alpha=90.00 beta=90.00 gamma=90.00
Closest atoms and distances in Å follow each position.
Element x y z (fractional)
Tl 0.2500 0.4281 0.3210  4 Ni 2.61-2.88
Tl 0.7500 0.9281 0.1790  4 Ni 2.61-2.88
Tl 0.7500 0.5719 0.6790  4 Ni 2.61-2.88
Tl 0.2500 0.0719 0.8210  4 Ni 2.61-2.88
Sc 0.7500 0.1952 0.5189  3 Ni 2.73-2.84, 1 Tl 3.05
Sc 0.2500 0.8048 0.4811  3 Ni 2.73-2.84, 1 Tl 3.05
Sc 0.7500 0.3048 0.0189  3 Ni 2.73-2.84, 1 Tl 3.05
Sc 0.2500 0.6952 0.9811  3 Ni 2.73-2.84, 1 Tl 3.05
Ni 0.7500 0.8983 0.7339  4 Tl 2.61-2.88, 3 Sc 2.73-2.84
Ni 0.2500 0.1017 0.2661  4 Tl 2.61-2.88, 3 Sc 2.73-2.84
Ni 0.2500 0.3983 0.7661  4 Tl 2.61-2.88, 3 Sc 2.73-2.84
Ni 0.7500 0.6017 0.2339  4 Tl 2.61-2.88, 3 Sc 2.73-2.84

raw total energy	-5.081	eV per atom
energy relative to the elements	-0.764	eV/f.u.
symmetry	Pnma



Entry 7:
Here is an optimized crystal structure of Sc11Tl9Ni4 from Alexandria. Energies are from PBE.

Unit cell a=3.4881 b=12.5037 c=12.5037 alpha=112.29 beta=90.00 gamma=90.00
Closest atoms and distances in Å follow each position.
Element x y z (fractional)
Tl 0.5000 0.6302 0.1477  1 Ni 2.97, 6 Sc 3.00-3.26, 1 Tl 3.10
Tl 0.5000 0.0709 0.2197  1 Ni 2.93, 6 Sc 2.99-3.19, 1 Tl 3.09
Tl 0.5000 0.9291 0.7803  1 Ni 2.93, 6 Sc 2.99-3.19, 1 Tl 3.09
Tl 0.5000 0.1477 0.6302  1 Ni 2.97, 6 Sc 3.00-3.26, 1 Tl 3.10
Tl 0.5000 0.7803 0.9291  1 Ni 2.93, 6 Sc 2.99-3.19, 1 Tl 3.09
Tl 0.5000 0.3698 0.8523  1 Ni 2.97, 6 Sc 3.00-3.26, 1 Tl 3.10
Tl 0.5000 0.2197 0.0709  1 Ni 2.93, 6 Sc 2.99-3.19, 1 Tl 3.09
Tl 0.5000 0.8523 0.3698  1 Ni 2.97, 6 Sc 3.00-3.26, 1 Tl 3.10
Tl 0.5000 0.5000 0.5000  4 Ni 2.93, 8 Sc 3.14-3.15
Sc 0.0000 0.9133 0.5802  2 Ni 2.61
Sc 0.0000 0.5802 0.9133  2 Ni 2.61
Sc 0.0000 0.6872 0.6872  4 Ni 2.77
Sc 0.0000 0.8414 0.1586  8 Tl 3.13-3.19, 3 Sc 3.29-3.49
Sc 0.0000 0.6266 0.3734  4 Ni 2.76
Sc 0.0000 0.3734 0.6266  4 Ni 2.76
Sc 0.0000 0.4198 0.0867  2 Ni 2.61
Sc 0.0000 0.0867 0.4198  2 Ni 2.61
Sc 0.0000 0.3128 0.3128  4 Ni 2.77
Sc 0.0000 0.1586 0.8414  8 Tl 3.13-3.19, 3 Sc 3.29-3.49
Sc 0.0000 0.0000 0.0000  8 Tl 3.09, 2 Sc 3.29
Ni 0.5000 0.5480 0.7484  6 Sc 2.61-2.77
Ni 0.5000 0.7484 0.5480  6 Sc 2.61-2.77
Ni 0.5000 0.2516 0.4520  6 Sc 2.61-2.77
Ni 0.5000 0.4520 0.2516  6 Sc 2.61-2.77

raw total energy	-5.118	eV per atom
energy relative to the elements	-8.773	eV/f.u.
symmetry	Cmmm



Entry 8:
Here is an optimized crystal structure of Sc4TlNi2 from Alexandria. Energies are from PBE.

Unit cell a=4.3864 b=4.3864 c=9.3571 alpha=76.44 beta=76.44 gamma=60.00
Closest atoms and distances in Å follow each position.
Element x y z (fractional)
Sc 0.3949 0.3949 0.8152  3 Ni 2.74, 3 Tl 3.03
Sc 0.8008 0.8008 0.5975  4 Ni 2.67-2.69
Sc 0.1992 0.1992 0.4025  4 Ni 2.67-2.69
Sc 0.6051 0.6051 0.1848  3 Ni 2.74, 3 Tl 3.03
Ni 0.1004 0.1004 0.6988  7 Sc 2.67-2.74, 1 Tl 2.71
Ni 0.8996 0.8996 0.3012  7 Sc 2.67-2.74, 1 Tl 2.71
Tl 0.0000 0.0000 0.0000  2 Ni 2.71, 6 Sc 3.03

raw total energy	-5.771	eV per atom
energy relative to the elements	-1.139	eV/f.u.
symmetry	R-3m